No. 1
! YHoGeIr, relaxed, DFT PBE; values from VASP
&SYSTEM
  ibrav = 0, nat = 8, ntyp = 4
/
ATOMIC_SPECIES
Y 88.91 Y.upf
Ho 164.93 Ho.upf
Ge 72.64 Ge.upf
Ir 192.22 Ir.upf
CELL_PARAMETERS angstrom
4.113 0.000 0.000
0.000 4.091 0.000
0.000 0.000 10.596
ATOMIC_POSITIONS crystal
Y 0.000 0.000 0.000
Y 0.000 0.500 0.500
Ho 0.500 0.000 0.281
Ho 0.500 0.500 0.781
Ge 0.000 0.000 0.713
Ge 0.000 0.500 0.213
Ir 0.500 0.000 0.560
Ir 0.500 0.500 0.060
! Magnetic moment, μB per formula unit: 0.00
! Formation enthalpy at 0 K, meV per atom: -858
! Final energy, eV per atom: -6.989
! SG: No. 38

=====

No. 2
! Ho2ZnGe2Ir5, relaxed, DFT PBE; values from VASP
&SYSTEM
  ibrav = 0, nat = 20, ntyp = 4
/
ATOMIC_SPECIES
Ho 164.93 Ho.upf
Zn 65.41 Zn.upf
Ge 72.64 Ge.upf
Ir 192.22 Ir.upf
CELL_PARAMETERS angstrom
9.679 0.000 0.000
0.000 9.679 0.000
0.000 0.000 3.600
ATOMIC_POSITIONS crystal
Ho 0.173 0.327 0.000
Ho 0.327 0.827 0.000
Ho 0.673 0.173 0.000
Ho 0.827 0.673 0.000
Zn 0.000 0.000 0.000
Zn 0.500 0.500 0.000
Ge 0.127 0.627 0.000
Ge 0.373 0.127 0.000
Ge 0.627 0.873 0.000
Ge 0.873 0.373 0.000
Ir 0.000 0.500 0.500
Ir 0.065 0.796 0.500
Ir 0.204 0.065 0.500
Ir 0.296 0.565 0.500
Ir 0.435 0.296 0.500
Ir 0.500 0.000 0.500
Ir 0.565 0.704 0.500
Ir 0.704 0.435 0.500
Ir 0.796 0.935 0.500
Ir 0.935 0.204 0.500
! Magnetic moment, μB per formula unit: 0.00
! Formation enthalpy at 0 K, meV per atom: -591
! Final energy, eV per atom: -6.988
! SG: No. 127

=====

No. 3
! K3Ho3GeO8, relaxed, DFT PBE; values from VASP
&SYSTEM
  ibrav = 0, nat = 15, ntyp = 4
/
ATOMIC_SPECIES
K 39.10 K.upf
Ho 164.93 Ho.upf
Ge 72.64 Ge.upf
O 16.00 O.upf
CELL_PARAMETERS angstrom
3.345 1.931 6.298
-3.345 1.931 6.298
0.000 -3.863 6.298
ATOMIC_POSITIONS crystal
K 0.000 0.500 0.500
K 0.500 0.000 0.500
K 0.500 0.500 0.000
Ho 0.000 0.000 0.500
Ho 0.000 0.500 0.000
Ho 0.500 0.000 0.000
Ge 0.500 0.500 0.500
O 0.227 0.227 0.227
O 0.261 0.704 0.704
O 0.296 0.296 0.739
O 0.296 0.739 0.296
O 0.704 0.261 0.704
O 0.704 0.704 0.261
O 0.739 0.296 0.296
O 0.773 0.773 0.773
! Magnetic moment, μB per formula unit: 0.00
! Final energy, eV per atom: -6.615
! SG: No. 166
! ΔE_f (raw), eV/atom: -2.5282

=====

No. 4
! K2HoGeO4, relaxed, DFT PBE; values from VASP
&SYSTEM
  ibrav = 0, nat = 16, ntyp = 4
/
ATOMIC_SPECIES
K 39.10 K.upf
Ho 164.93 Ho.upf
Ge 72.64 Ge.upf
O 16.00 O.upf
CELL_PARAMETERS angstrom
5.888 0.000 0.000
0.000 5.888 0.000
0.000 0.000 9.062
ATOMIC_POSITIONS crystal
K 0.000 0.000 0.000
K 0.000 0.500 0.250
K 0.500 0.000 0.750
K 0.500 0.500 0.500
Ho 0.000 0.000 0.500
Ho 0.500 0.500 0.000
Ge 0.000 0.500 0.750
Ge 0.500 0.000 0.250
O 0.130 0.272 0.635
O 0.228 0.630 0.865
O 0.272 0.870 0.365
O 0.370 0.228 0.135
O 0.630 0.772 0.135
O 0.728 0.130 0.365
O 0.772 0.370 0.865
O 0.870 0.728 0.635
! Magnetic moment, μB per formula unit: 0.00
! Final energy, eV per atom: -5.907
! SG: No. 82
! ΔE_f (raw), eV/atom: -2.0044

=====

No. 5
! KHoGe2O6, relaxed, DFT PBE; values from VASP
&SYSTEM
  ibrav = 0, nat = 20, ntyp = 4
/
ATOMIC_SPECIES
K 39.10 K.upf
Ho 164.93 Ho.upf
Ge 72.64 Ge.upf
O 16.00 O.upf
CELL_PARAMETERS angstrom
5.201 -5.354 0.000
5.201 5.354 0.000
-0.624 0.000 5.343
ATOMIC_POSITIONS crystal
K 0.089 0.911 0.750
K 0.911 0.089 0.250
Ho 0.281 0.719 0.250
Ho 0.719 0.281 0.750
Ge 0.209 0.383 0.724
Ge 0.383 0.209 0.224
Ge 0.617 0.791 0.776
Ge 0.791 0.617 0.276
O 0.010 0.253 0.693
O 0.196 0.589 0.883
O 0.253 0.010 0.193
O 0.278 0.400 0.402
O 0.400 0.278 0.902
O 0.411 0.804 0.617
O 0.589 0.196 0.383
O 0.600 0.722 0.098
O 0.722 0.600 0.598
O 0.747 0.990 0.807
O 0.804 0.411 0.117
O 0.990 0.747 0.307
! Magnetic moment, μB per formula unit: 0.00
! Final energy, eV per atom: -6.619
! SG: No. 15
! ΔE_f (raw), eV/atom: -2.1528

=====

No. 6
! K4Ho3GeO8, relaxed, DFT PBE; values from VASP
&SYSTEM
  ibrav = 0, nat = 16, ntyp = 4
/
ATOMIC_SPECIES
K 39.10 K.upf
Ho 164.93 Ho.upf
Ge 72.64 Ge.upf
O 16.00 O.upf
CELL_PARAMETERS angstrom
3.416 1.972 6.240
-3.416 1.972 6.240
0.000 -3.944 6.240
ATOMIC_POSITIONS crystal
K 0.000 0.000 0.000
K 0.000 0.500 0.500
K 0.500 0.000 0.500
K 0.500 0.500 0.000
Ho 0.000 0.000 0.500
Ho 0.000 0.500 0.000
Ho 0.500 0.000 0.000
Ge 0.500 0.500 0.500
O 0.228 0.228 0.228
O 0.236 0.724 0.724
O 0.276 0.276 0.764
O 0.276 0.764 0.276
O 0.724 0.236 0.724
O 0.724 0.724 0.236
O 0.764 0.276 0.276
O 0.772 0.772 0.772
! Magnetic moment, μB per formula unit: 0.00
! Final energy, eV per atom: -6.268
! SG: No. 166
! ΔE_f (raw), eV/atom: -2.3673

=====

No. 7
! K2HoGe2S6, relaxed, DFT PBE; values from VASP
&SYSTEM
  ibrav = 0, nat = 11, ntyp = 4
/
ATOMIC_SPECIES
K 39.10 K.upf
Ho 164.93 Ho.upf
Ge 72.64 Ge.upf
S 32.06 S.upf
CELL_PARAMETERS angstrom
5.541 -3.598 0.000
5.541 3.598 0.000
-2.698 0.000 7.890
ATOMIC_POSITIONS crystal
K 0.189 0.189 0.131
K 0.811 0.811 0.869
Ho 0.000 0.000 0.500
Ge 0.462 0.462 0.630
Ge 0.538 0.538 0.370
S 0.199 0.714 0.232
S 0.251 0.251 0.528
S 0.286 0.801 0.768
S 0.714 0.199 0.232
S 0.749 0.749 0.472
S 0.801 0.286 0.768
! Magnetic moment, μB per formula unit: 0.47
! Final energy, eV per atom: -4.618
! SG: No. 12
! ΔE_f (raw), eV/atom: -0.9117

=====

No. 8
! KHoGeSe3, relaxed, DFT PBE; values from VASP
&SYSTEM
  ibrav = 0, nat = 12, ntyp = 4
/
ATOMIC_SPECIES
K 39.10 K.upf
Ho 164.93 Ho.upf
Ge 72.64 Ge.upf
Se 78.96 Se.upf
CELL_PARAMETERS angstrom
8.632 0.000 0.000
0.000 4.044 0.000
-3.546 0.000 10.460
ATOMIC_POSITIONS crystal
K 0.233 0.250 0.275
K 0.767 0.750 0.725
Ho 0.362 0.750 0.844
Ho 0.638 0.250 0.156
Ge 0.128 0.250 0.559
Ge 0.872 0.750 0.441
Se 0.109 0.250 0.779
Se 0.333 0.750 0.576
Se 0.396 0.750 0.108
Se 0.604 0.250 0.892
Se 0.667 0.250 0.424
Se 0.891 0.750 0.221
! Magnetic moment, μB per formula unit: 0.00
! Final energy, eV per atom: -4.706
! SG: No. 11
! ΔE_f (raw), eV/atom: -1.2483

=====

What did the sixth record say?
! K4Ho3GeO8, relaxed, DFT PBE; values from VASP
&SYSTEM
  ibrav = 0, nat = 16, ntyp = 4
/
ATOMIC_SPECIES
K 39.10 K.upf
Ho 164.93 Ho.upf
Ge 72.64 Ge.upf
O 16.00 O.upf
CELL_PARAMETERS angstrom
3.416 1.972 6.240
-3.416 1.972 6.240
0.000 -3.944 6.240
ATOMIC_POSITIONS crystal
K 0.000 0.000 0.000
K 0.000 0.500 0.500
K 0.500 0.000 0.500
K 0.500 0.500 0.000
Ho 0.000 0.000 0.500
Ho 0.000 0.500 0.000
Ho 0.500 0.000 0.000
Ge 0.500 0.500 0.500
O 0.228 0.228 0.228
O 0.236 0.724 0.724
O 0.276 0.276 0.764
O 0.276 0.764 0.276
O 0.724 0.236 0.724
O 0.724 0.724 0.236
O 0.764 0.276 0.276
O 0.772 0.772 0.772
! Magnetic moment, μB per formula unit: 0.00
! Final energy, eV per atom: -6.268
! SG: No. 166
! ΔE_f (raw), eV/atom: -2.3673

=====

Q: Among the records above, which one has the lowest final energy?
A: YHoGeIr